# RbHf4Se8 PBE relaxed
# Energy above the most stable polymorph in this dataset ... 237 meV per atom
# Formation energy without anion corrections ... -15.2 eV per formula unit
# Volume ... 29.26 Å³/atom
data_RbHf4Se8
_cell_length_a 11.5018
_cell_length_b 11.5018
_cell_length_c 11.5018
_cell_angle_alpha 90.00
_cell_angle_beta 90.00
_cell_angle_gamma 90.00
_space_group_name_H-M_alt 'F -4 3 m'
_space_group_IT_number 216
_space_group_name_Hall 'F -4 2 3'
loop_
_atom_site_label
_atom_site_type_symbol
_atom_site_fract_x
_atom_site_fract_y
_atom_site_fract_z
Rb1 Rb 0.0000 0.0000 0.0000
Hf1 Hf 0.1205 0.1205 0.3795
Se1 Se 0.1164 0.1164 0.6164
Se2 Se 0.1459 0.1459 0.1459